1.
First-principles (PBE) data for a relaxed structure of TiRuS2Cl, as listed in Alexandria via LeMat-Bulk.

Summary:
- energy relative to the lowest polymorph listed for this composition (meV per atom) = 0
- energy relative to the elements, uncorrected (eV per atom) = 0.113

Cell lengths 4.7155, 4.7155, 4.6925 Å; angles 90.00, 90.00, 90.00 degrees
Last column: nearest neighbours and their distance in Å.
Space group P4/mmm (No. 123)
Symmetry-distinct sites (fractional):
Ti  0.0000  0.0000  0.0000  2 Cl 2.35, 4 S 2.36
Ru  0.5000  0.5000  0.5000  8 S 3.33, 4 Cl 3.33
S  0.0000  0.5000  0.0000  2 Ti 2.36
Cl  0.0000  0.0000  0.5000  2 Ti 2.35

2.
First-principles (PBE) data for a relaxed structure of Mg2ZrCuOs, as listed in Alexandria via LeMat-Bulk.

Summary:
- energy relative to the lowest polymorph listed for this composition (meV per atom) = 0
- ΔH_f (0 K) (kJ per mole of atoms) = 73.99

Cell lengths 4.4411, 4.4411, 5.0075 Å; angles 90.00, 90.00, 90.00 degrees
Last column: nearest neighbours and their distance in Å.
Space group P4/mmm (No. 123)
Symmetry-distinct sites (fractional):
Mg  0.0000  0.5000  0.0000  2 Cu 2.22
Zr  0.0000  0.0000  0.5000  2 Cu 2.50
Cu  0.0000  0.0000  0.0000  4 Mg 2.22
Os  0.5000  0.5000  0.5000  4 Zr 3.14, 8 Mg 3.35

3.
First-principles (PBE) data for a relaxed structure of Pa4Si4Ru, as listed in Alexandria via LeMat-Bulk.

Summary:
- energy relative to the elements, uncorrected (eV per atom) = -0.154

Cell lengths 8.3554, 8.3554, 5.7281 Å; angles 90.00, 90.00, 90.00 degrees
Last column: nearest neighbours and their distance in Å.
Space group I4/m (No. 87)
Symmetry-distinct sites (fractional):
Pa  0.0765  0.2843  0.0000  5 Si 2.76-2.87
Si  0.0864  0.2731  0.5000  1 Ru 2.39
Ru  0.0000  0.0000  0.5000  4 Si 2.39

4.
First-principles (PBE) data for a relaxed structure of BeInCo2, as listed in Alexandria via LeMat-Bulk.

Summary:
- ΔH_f (0 K) (kJ per mole of atoms) = 10.45

Cell lengths 2.9148, 2.9148, 6.0332 Å; angles 90.00, 90.00, 90.00 degrees
Last column: nearest neighbours and their distance in Å.
Space group P4mm (No. 99)
Symmetry-distinct sites (fractional):
Be  0.0000  0.0000  0.0000  5 Co 2.25-2.29
In  0.5000  0.5000  0.6780  5 Co 2.74-2.85, 4 Be 2.83, 4 In 2.91
Co  0.0000  0.0000  0.3796  1 Be 2.29, 4 Co 2.48
Co  0.5000  0.5000  0.1497  4 Be 2.25, 4 Co 2.48

5.
First-principles (PBE) data for a relaxed structure of Li6In2Hg, as listed in Alexandria via LeMat-Bulk.

Summary:
- energy relative to the lowest polymorph listed for this composition (meV per atom) = 0
- ΔH_f (0 K) (kJ per mole of atoms) = -26.56

Cell lengths 8.0678, 8.0678, 8.7157 Å; angles 90.00, 90.00, 120.00 degrees
Last column: nearest neighbours and their distance in Å.
Space group R-3m (No. 166, hexagonal axes)
Symmetry-distinct sites (fractional):
Li  0.9998  0.3332  0.1667  5 Li 2.69-2.91
In  0.0000  0.0000  0.3314  1 Hg 2.89, 1 In 2.94, 12 Li 3.05-3.07
Hg  0.0000  0.0000  0.0000  2 In 2.89, 12 Li 3.06

6.
First-principles (PBE) data for a relaxed structure of LaCe2SiN4, as listed in Alexandria via LeMat-Bulk.

Summary:
- energy relative to the elements, uncorrected (eV per atom) = -1.208

Cell lengths 3.4514, 11.6689, 12.0212 Å; angles 90.00, 90.00, 90.00 degrees
Last column: nearest neighbours and their distance in Å.
Space group Cmcm (No. 63)
Symmetry-distinct sites (fractional):
La  0.0000  0.0883  0.2500  6 N 2.72-2.79
Ce  0.0000  0.3648  0.0438  6 N 2.40-2.62
Si  0.0000  0.1801  0.7500  2 N 1.75
N  0.0000  0.0000  0.0000  4 Ce 2.40
N  0.0000  0.2740  0.6367  1 Si 1.75
N  0.0000  0.4007  0.2500  2 Si 1.97

7.
First-principles (PBE) data for a relaxed structure of Ba2CaHgF, as listed in Alexandria via LeMat-Bulk.

Summary:
- energy relative to the elements, uncorrected (eV per atom) = -1.236

Cell lengths 6.0708, 6.0708, 4.5458 Å; angles 90.00, 90.00, 90.00 degrees
Last column: nearest neighbours and their distance in Å.
Space group P4/mmm (No. 123)
Symmetry-distinct sites (fractional):
Ba  0.0000  0.5000  0.0000  2 F 3.04
Ca  0.0000  0.0000  0.5000  2 F 2.27
Hg  0.5000  0.5000  0.5000  8 Ba 3.79
F  0.0000  0.0000  0.0000  2 Ca 2.27

8.
First-principles (PBE) data for a relaxed structure of La12Zn3C5, as listed in Alexandria via LeMat-Bulk.

Summary:
- ΔH_f (0 K) (kJ per mole of atoms) = 1.60

Cell lengths 16.5728, 16.5728, 16.5728 Å; angles 90.00, 90.00, 90.00 degrees
Last column: nearest neighbours and their distance in Å.
Space group Ia-3d (No. 230)
Symmetry-distinct sites (fractional):
La  0.0335  0.0542  0.6486  2 C 2.44-2.68
Zn  0.0000  0.2500  0.1250  8 La 3.24-3.31
C  0.0000  0.0000  0.0000  6 La 2.68
C  0.0000  0.2500  0.3750  4 La 2.44

9.
First-principles (PBE) data for a relaxed structure of Tm2GaB2Rh5, as listed in Alexandria via LeMat-Bulk.

Summary:
- ΔH_f (0 K) (kJ per mole of atoms) = -84.77

Cell lengths 9.4518, 9.4518, 3.1666 Å; angles 90.00, 90.00, 90.00 degrees
Last column: nearest neighbours and their distance in Å.
Space group P4/mbm (No. 127)
Symmetry-distinct sites (fractional):
Tm  0.1752  0.3248  0.0000  3 B 2.69-2.86, 10 Rh 2.83-2.98
Ga  0.0000  0.0000  0.0000  8 Rh 2.68
B  0.1232  0.6232  0.0000  6 Rh 2.24-2.28
Rh  0.0000  0.5000  0.5000  4 B 2.28
Rh  0.0699  0.7817  0.5000  2 B 2.24

10.
First-principles (PBE) data for a relaxed structure of Cu2Ir, as listed in Alexandria via LeMat-Bulk.

Summary:
- energy relative to the lowest polymorph listed for this composition (meV per atom) = 131
- ΔH_f (0 K) (kJ per mole of atoms) = 17.69

Cell lengths 4.2379, 4.2379, 2.5167 Å; angles 90.00, 90.00, 120.00 degrees
Last column: nearest neighbours and their distance in Å.
Space group P6/mmm (No. 191)
Symmetry-distinct sites (fractional):
Cu  0.3333  0.6667  0.0000  5 Cu 2.45-2.52
Ir  0.0000  0.0000  0.5000  2 Ir 2.52, 12 Cu 2.75

11.
First-principles (PBE) data for a relaxed structure of Zr4ZnOs, as listed in Alexandria via LeMat-Bulk.

Summary:
- energy relative to the lowest polymorph listed for this composition (meV per atom) = 233
- ΔH_f (0 K) (kJ per mole of atoms) = -2.96

Cell lengths 4.5473, 4.5473, 6.5439 Å; angles 90.00, 90.00, 90.00 degrees
Last column: nearest neighbours and their distance in Å.
Space group P4/mmm (No. 123)
Symmetry-distinct sites (fractional):
Zr  0.0000  0.5000  0.2418  2 Os 2.77, 2 Zn 2.83
Zn  0.0000  0.0000  0.5000  8 Zr 2.83
Os  0.5000  0.5000  0.0000  8 Zr 2.77

12.
First-principles (PBE) data for a relaxed structure of Na4SrSn4, as listed in Alexandria via LeMat-Bulk.

Summary:
- ΔH_f (0 K) (kJ per mole of atoms) = -14.81

Cell lengths 7.2486, 7.2486, 10.5768 Å; angles 90.00, 90.00, 90.00 degrees
Last column: nearest neighbours and their distance in Å.
Space group P4_2/nmc (No. 137, origin choice 2)
Symmetry-distinct sites (fractional):
Na  0.0120  0.2500  0.1661  5 Sn 3.11-3.19, 3 Na 3.22-3.45
Sr  0.2500  0.7500  0.2500  4 Sn 3.72, 8 Na 4.11
Sn  0.0480  0.2500  0.4641  1 Sn 2.93, 5 Na 3.11-3.19

13.
First-principles (PBE) data for a relaxed structure of YPtO2, as listed in Alexandria via LeMat-Bulk.

Summary:
- energy relative to the elements, uncorrected (eV per atom) = -1.534

Cell lengths 4.3594, 4.3594, 12.9059 Å; angles 90.00, 90.00, 90.00 degrees
Last column: nearest neighbours and their distance in Å.
Space group I-42d (No. 122)
Symmetry-distinct sites (fractional):
Y  0.0000  0.0000  0.0000  4 O 2.25
Pt  0.0000  0.0000  0.5000  4 O 2.21
O  0.2402  0.2500  0.6250  2 Pt 2.21, 2 Y 2.25

14.
First-principles (PBE) data for a relaxed structure of AcTiPb2O8, as listed in Alexandria via LeMat-Bulk.

Summary:
- energy relative to the elements, uncorrected (eV per atom) = -1.751

Cell lengths 5.0466, 7.0257, 5.0484 Å; angles 90.00, 92.62, 90.00 degrees
Last column: nearest neighbours and their distance in Å.
Space group P2/m (No. 10)
Symmetry-distinct sites (fractional):
Ac  0.0000  0.0000  0.0000  6 O 2.38-2.47
Ti  0.0000  0.5000  0.0000  6 O 1.95-2.10
Pb  0.5000  0.2661  0.5000  6 O 2.17-2.26
O  0.1892  0.2970  0.1904  1 Ti 1.95, 1 Pb 2.17
O  0.2879  0.5000  0.7131  1 Ti 2.10, 2 Pb 2.26
O  0.3279  0.0000  0.6746  2 Pb 2.26, 1 Ac 2.38

15.
First-principles (PBE) data for a relaxed structure of TcP2Se, as listed in Alexandria via LeMat-Bulk.

Summary:
- energy relative to the elements, uncorrected (eV per atom) = 0.507

Cell lengths 4.0408, 4.0408, 7.3009 Å; angles 90.00, 90.00, 90.00 degrees
Last column: nearest neighbours and their distance in Å.
Space group I4/mmm (No. 139)
Symmetry-distinct sites (fractional):
Tc  0.0000  0.0000  0.0000  8 P 2.72, 4 Se 2.86
P  0.0000  0.5000  0.2500  4 Tc 2.72, 4 Se 2.72, 4 P 2.86
Se  0.0000  0.0000  0.5000  8 P 2.72, 4 Tc 2.86

16.
First-principles (PBE) data for a relaxed structure of Rb3SrSi, as listed in Alexandria via LeMat-Bulk.

Summary:
- energy relative to the lowest polymorph listed for this composition (meV per atom) = 0
- energy relative to the elements, uncorrected (eV per atom) = 0.426

Cell lengths 6.9471, 6.9471, 6.9471 Å; angles 90.00, 90.00, 90.00 degrees
Last column: nearest neighbours and their distance in Å.
Space group Pm-3m (No. 221)
Symmetry-distinct sites (fractional):
Rb  0.0000  0.0000  0.5000  2 Si 3.47
Sr  0.5000  0.5000  0.5000  12 Rb 4.91
Si  0.0000  0.0000  0.0000  6 Rb 3.47

17.
First-principles (PBE) data for a relaxed structure of MgSbOs2, as listed in Alexandria via LeMat-Bulk.

Summary:
- energy relative to the elements, uncorrected (eV per atom) = 0.601

Cell lengths 6.4577, 6.4577, 6.4577 Å; angles 90.00, 90.00, 90.00 degrees
Last column: nearest neighbours and their distance in Å.
Space group F-43m (No. 216)
Symmetry-distinct sites (fractional):
Mg  0.0000  0.0000  0.0000  4 Sb 2.80, 4 Os 2.80
Sb  0.2500  0.2500  0.2500  4 Os 2.80, 4 Mg 2.80
Os  0.0000  0.0000  0.5000  4 Sb 2.80, 4 Os 2.80
Os  0.2500  0.2500  0.7500  4 Os 2.80, 4 Mg 2.80

18.
First-principles (PBE) data for a relaxed structure of BeTlZn, as listed in Alexandria via LeMat-Bulk.

Summary:
- energy relative to the lowest polymorph listed for this composition (meV per atom) = 0
- ΔH_f (0 K) (kJ per mole of atoms) = 26.74

Cell lengths 3.6346, 20.3187, 3.0883 Å; angles 90.00, 90.00, 90.00 degrees
Last column: nearest neighbours and their distance in Å.
Space group Cmcm (No. 63)
Symmetry-distinct sites (fractional):
Be  0.0000  0.0390  0.2500  2 Be 2.21, 4 Zn 2.40
Tl  0.0000  0.1779  0.7500  2 Tl 3.09, 2 Zn 3.10, 2 Be 3.22
Zn  0.0000  0.4457  0.2500  6 Be 2.40-2.63, 2 Zn 2.69

19.
First-principles (PBE) data for a relaxed structure of Tm4GeP3, as listed in Alexandria via LeMat-Bulk.

Summary:
- ΔH_f (0 K) (kJ per mole of atoms) = -128.55

Cell lengths 5.6318, 5.6318, 5.6318 Å; angles 90.00, 90.00, 90.00 degrees
Last column: nearest neighbours and their distance in Å.
Space group Pm-3m (No. 221)
Symmetry-distinct sites (fractional):
Tm  0.0000  0.0000  0.0000  6 P 2.82
Tm  0.0000  0.5000  0.5000  2 Ge 2.82, 4 P 2.82
Ge  0.5000  0.5000  0.5000  6 Tm 2.82
P  0.0000  0.0000  0.5000  6 Tm 2.82

20.
First-principles (PBE) data for a relaxed structure of Dy2ThN, as listed in Alexandria via LeMat-Bulk.

Summary:
- energy relative to the elements, uncorrected (eV per atom) = -0.671

Cell lengths 3.4284, 3.4284, 28.9183 Å; angles 90.00, 90.00, 120.00 degrees
Last column: nearest neighbours and their distance in Å.
Space group R-3m (No. 166, hexagonal axes)
Symmetry-distinct sites (fractional):
Dy  0.0000  0.0000  0.1202  3 N 2.39
Th  0.0000  0.0000  0.0000  6 Th 3.43, 2 Dy 3.48
N  0.0000  0.0000  0.5000  6 Dy 2.39

21.
First-principles (PBE) data for a relaxed structure of SrHgGeSe2, as listed in Alexandria via LeMat-Bulk.

Summary:
- energy relative to the elements, uncorrected (eV per atom) = 0.224

Cell lengths 5.7709, 5.7709, 5.8245 Å; angles 90.00, 90.00, 90.00 degrees
Last column: nearest neighbours and their distance in Å.
Space group P4/mmm (No. 123)
Symmetry-distinct sites (fractional):
Sr  0.0000  0.0000  0.0000  4 Se 2.89, 2 Hg 2.91
Hg  0.0000  0.0000  0.5000  2 Sr 2.91
Ge  0.5000  0.5000  0.5000  4 Hg 4.08, 8 Se 4.10
Se  0.0000  0.5000  0.0000  2 Sr 2.89

Short version: DOS at the Fermi energy = 0.7264; 0.8092; 1.4020; 0.4879; 0.3140; 0.8371; 0.6517; 1.1998; 0.2804; 0.6226; 0.9858; 0.3995; 0.4896; 0.5882; 0.4756; 0.5092; 0.6909; 0.2534; 0.4387; 0.7759; 0.3586 states/eV/atom, in the order given.
Short version: size of the total moment = 3.2; 0.0; 0.0; 2.8; 0.0; 1.1; 0.0; 0.0; 0.0; 0.0; 0.0; 0.0; 1.0; 0.7; 0.0; 1.0; 0.0; 0.0; 0.0; 0.0; 0.0 μB per formula unit, in the order given.